[1]
## HfZr2P2 (PBE)

Data for a relaxed HfZr2P2 crystal.

a = 6.989 Å, b = 6.989 Å, c = 3.634 Å
α = 90.00°, β = 90.00°, γ = 90.00°
Fractional coordinates of all 10 atoms:
1 Zr 0.661 0.839 0.500
2 Zr 0.839 0.339 0.500
3 Zr 0.339 0.161 0.500
4 Zr 0.161 0.661 0.500
5 P 0.360 0.860 0.000
6 P 0.640 0.140 0.000
7 P 0.140 0.360 0.000
8 P 0.860 0.640 0.000
9 Hf 0.000 0.000 0.000
10 Hf 0.500 0.500 0.000

The energy above the lowest structure with this stoichiometry comes out at 0.0 meV per atom. The space group is P4/mbm (127). The value obtained for the total DFT energy (no corrections) is -8.76 eV per atom.

[2]
## Cs2UGaCl6 (PBE)

Data for a relaxed Cs2UGaCl6 crystal.

a = 8.037 Å, b = 8.044 Å, c = 11.371 Å
α = 90.00°, β = 90.00°, γ = 90.00°
Last column: magnetic moment on the atom in μB.
Fractional coordinates of all 20 atoms:
1 Cs 0.500 0.749 0.250  0.00
2 Cs 0.000 0.251 0.250  0.00
3 Cs 0.500 0.749 0.750  0.00
4 Cs 0.000 0.251 0.750  0.00
5 Ga 0.500 0.250 0.000  0.00
6 Ga 0.000 0.750 0.500  0.00
7 Cl 0.500 0.249 0.741  -0.01
8 Cl 0.258 0.489 0.500  -0.01
9 Cl 0.758 0.511 0.000  -0.01
10 Cl 0.500 0.249 0.259  -0.01
11 Cl 0.741 0.007 0.500  -0.01
12 Cl 0.000 0.751 0.241  -0.01
13 Cl 0.242 0.511 0.000  -0.01
14 Cl 0.742 0.489 0.500  -0.01
15 Cl 0.000 0.751 0.759  -0.01
16 Cl 0.259 0.007 0.500  -0.01
17 Cl 0.759 0.993 0.000  -0.01
18 Cl 0.241 0.993 0.000  -0.01
19 U 0.500 0.249 0.500  2.90
20 U 0.000 0.751 0.000  2.90

The value obtained for the formation energy without anion corrections is -1.64 eV per atom. The space group is Pmmn (59). The value obtained for the total DFT energy (no corrections) is -4.35 eV per atom.

[3]
## Na2Ga5Sn3 (PBE)

Data for a relaxed Na2Ga5Sn3 crystal.

a = 4.728 Å, b = 4.728 Å, c = 11.441 Å
α = 90.00°, β = 90.00°, γ = 90.00°
Fractional coordinates of all 10 atoms:
1 Ga 0.500 0.000 0.890
2 Ga 0.000 0.500 0.110
3 Ga 0.000 0.000 0.000
4 Ga 0.500 0.500 0.500
5 Ga 0.500 0.500 0.000
6 Sn 0.000 0.000 0.500
7 Sn 0.500 0.000 0.652
8 Sn 0.000 0.500 0.348
9 Na 0.500 0.000 0.215
10 Na 0.000 0.500 0.785

The space group is P-4m2 (115). The value obtained for the total DFT energy (no corrections) is -3.05 eV per atom.

[4]
## TmCuHg2 (PBE)

Data for a relaxed TmCuHg2 crystal.

a = 4.572 Å, b = 4.572 Å, c = 8.737 Å
α = 105.17°, β = 105.17°, γ = 90.00°
Fractional coordinates of all 8 atoms:
1 Cu 0.750 0.250 0.500
2 Cu 0.250 0.750 0.500
3 Hg 0.000 0.500 0.000
4 Hg 0.500 0.000 0.000
5 Hg 0.344 0.344 0.688
6 Hg 0.656 0.656 0.312
7 Tm 0.140 0.140 0.280
8 Tm 0.860 0.860 0.720

The space group is I4/mmm (139). The value obtained for the total DFT energy (no corrections) is -2.54 eV per atom.

[5]
## VCdSi3 (PBE)

Data for a relaxed VCdSi3 crystal.

a = 4.655 Å, b = 4.655 Å, c = 4.655 Å
α = 90.00°, β = 90.00°, γ = 90.00°
Last column: magnetic moment on the atom in μB.
Fractional coordinates of all 5 atoms:
1 Si 0.500 0.000 0.000  -0.01
2 Si 0.000 0.000 0.500  -0.01
3 Si 0.000 0.500 0.000  -0.01
4 V 0.000 0.000 0.000  0.25
5 Cd 0.500 0.500 0.500  0.02

The energy above the lowest structure with this stoichiometry comes out at 0.0 meV per atom. The value obtained for the formation energy without anion corrections is 0.46 eV per atom. The space group is Pm-3m (221). The value obtained for the total DFT energy (no corrections) is -4.80 eV per atom.

[6]
## AcGeP2 (PBE)

Data for a relaxed AcGeP2 crystal.

a = 4.046 Å, b = 4.696 Å, c = 4.696 Å
α = 90.00°, β = 90.00°, γ = 90.00°
Fractional coordinates of all 4 atoms:
1 P 0.000 0.000 0.500
2 P 0.000 0.500 0.000
3 Ac 0.500 0.000 0.000
4 Ge 0.500 0.500 0.500

The energy above the lowest structure with this stoichiometry comes out at 133.3 meV per atom. The space group is P4/mmm (123). The value obtained for the total DFT energy (no corrections) is -5.26 eV per atom.

[7]
## Th2NpTl3Te6 (PBE)

Data for a relaxed Th2NpTl3Te6 crystal.

a = 7.685 Å, b = 7.685 Å, c = 8.822 Å
α = 98.35°, β = 98.35°, γ = 119.99°
Last column: magnetic moment on the atom in μB.
Fractional coordinates of all 12 atoms:
1 Te 0.074 0.408 0.222  -0.02
2 Te 0.408 0.074 0.222  -0.02
3 Te 0.926 0.592 0.778  -0.02
4 Te 0.592 0.926 0.778  -0.02
5 Te 0.260 0.260 0.778  -0.02
6 Te 0.740 0.740 0.222  -0.02
7 Th 0.667 0.333 0.000  0.28
8 Th 0.333 0.667 0.000  0.28
9 Tl 0.834 0.166 0.500  0.00
10 Tl 0.500 0.500 0.500  0.00
11 Tl 0.166 0.834 0.500  0.00
12 Np 0.000 0.000 0.000  4.26

The value obtained for the formation energy without anion corrections is -0.75 eV per atom. The space group is C2/m (12). The value obtained for the total DFT energy (no corrections) is -5.23 eV per atom.

[8]
## Ce4GeTe2I (PBE)

Data for a relaxed Ce4GeTe2I crystal.

a = 4.405 Å, b = 7.714 Å, c = 7.703 Å
α = 70.97°, β = 90.00°, γ = 90.00°
Last column: magnetic moment on the atom in μB.
Fractional coordinates of all 8 atoms:
1 Ce 0.000 0.744 0.735  0.92
2 Ce 0.500 0.267 0.729  0.85
3 Ce 0.500 0.733 0.271  0.85
4 Ce 0.000 0.256 0.265  0.92
5 Ge 0.000 0.500 0.500  -0.03
6 Te 0.500 0.000 0.500  -0.02
7 Te 0.000 0.000 0.000  -0.02
8 I 0.500 0.500 0.000  -0.01

The value obtained for the formation energy without anion corrections is -1.10 eV per atom. The space group is P2/m (10). The value obtained for the total DFT energy (no corrections) is -5.62 eV per atom.

[9]
## CuBSe2 (PBE)

Data for a relaxed CuBSe2 crystal.

a = 6.496 Å, b = 6.496 Å, c = 6.496 Å
α = 32.97°, β = 32.97°, γ = 32.97°
Fractional coordinates of all 4 atoms:
1 Se 0.114 0.114 0.114
2 Se 0.629 0.629 0.629
3 Cu 0.500 0.500 0.500
4 B 0.008 0.008 0.008

The value obtained for the formation energy without anion corrections is 0.09 eV per atom. The space group is R3m (160). The value obtained for the total DFT energy (no corrections) is -4.35 eV per atom.

[10]
## ZrFe2W (PBE)

Data for a relaxed ZrFe2W crystal.

a = 2.756 Å, b = 2.756 Å, c = 8.333 Å
α = 90.00°, β = 90.00°, γ = 106.99°
Last column: magnetic moment on the atom in μB.
Fractional coordinates of all 4 atoms:
1 W 0.500 0.500 0.250  -0.20
2 Fe 0.000 0.000 0.016  1.96
3 Fe 0.000 0.000 0.484  1.96
4 Zr 0.500 0.500 0.750  -0.21

The space group is Cmmm (65). The value obtained for the total DFT energy (no corrections) is -9.40 eV per atom.

[11]
## Ce2DySc (PBE)

Data for a relaxed Ce2DySc crystal.

a = 3.390 Å, b = 3.390 Å, c = 9.877 Å
α = 90.00°, β = 90.00°, γ = 90.00°
Last column: magnetic moment on the atom in μB.
Fractional coordinates of all 4 atoms:
1 Ce 0.000 0.000 0.759  0.53
2 Ce 0.000 0.000 0.241  0.53
3 Sc 0.500 0.500 0.000  0.04
4 Dy 0.500 0.500 0.500  0.01

The energy above the lowest structure with this stoichiometry comes out at 15.6 meV per atom. The space group is P4/mmm (123). The value obtained for the total DFT energy (no corrections) is -5.59 eV per atom.

[12]
## LiPRuO2 (PBE)

Data for a relaxed LiPRuO2 crystal.

a = 3.545 Å, b = 3.545 Å, c = 4.318 Å
α = 90.00°, β = 90.00°, γ = 90.00°
Fractional coordinates of all 5 atoms:
1 P 0.000 0.000 0.500
2 Li 0.000 0.000 0.000
3 O 0.000 0.500 0.000
4 O 0.500 0.000 0.000
5 Ru 0.500 0.500 0.500

The energy above the lowest structure with this stoichiometry comes out at 913.5 meV per atom. The value obtained for the formation energy without anion corrections is 0.44 eV per atom. The space group is P4/mmm (123). The value obtained for the total DFT energy (no corrections) is -4.87 eV per atom.

[13]
## NaSrGaPb (PBE)

Data for a relaxed NaSrGaPb crystal.

a = 5.503 Å, b = 5.503 Å, c = 5.503 Å
α = 60.00°, β = 60.00°, γ = 60.00°
Fractional coordinates of all 4 atoms:
1 Pb 0.750 0.750 0.750
2 Sr 0.000 0.000 0.000
3 Na 0.500 0.500 0.500
4 Ga 0.250 0.250 0.250

The space group is F-43m (216). The value obtained for the total DFT energy (no corrections) is -2.69 eV per atom.